Record 1
First-principles (PBE) data for crystalline KRb2CdS at its relaxed geometry, as listed in the Alexandria database.

Geometry as POSCAR:
```
KRb2CdS
1.0
-6.101 0.418 2.072
0.197 -6.189 1.829
1.987 1.691 5.509
S Rb K Cd
1 2 1 1
Cartesian
0.000 0.000 0.000
0.099 -3.095 0.915
-3.051 0.209 1.036
0.993 0.846 2.755
-1.959 -2.040 4.705
```

Output
- space-group type = No. 123
- spin magnetization (μB/cell) = 0.0

---

Record 2
First-principles (PBE) data for crystalline K2RbCdS at its relaxed geometry, as listed in the Alexandria database.

Geometry as POSCAR:
```
K2RbCdS
1.0
-1.300 3.149 5.075
-4.011 -4.308 1.646
4.678 -3.151 3.153
S K Cd Rb
1 2 1 1
Cartesian
0.000 0.000 0.000
-2.006 -2.154 0.823
-0.650 1.574 2.538
-0.316 -2.155 4.937
2.339 -1.575 1.577
```

Output
- space-group type = No. 123
- spin magnetization (μB/cell) = 0.0

---

Calculated values (states/eV per cell) of DOS at the Fermi energy for the records, taken in order: 3.5, 3.4.
Calculated values (eV per atom) of raw total energy for the records, taken in order: -2.101, -2.139.